First-principles (PBE) data for crystalline Be2AsIr at its relaxed geometry, as listed in the Alexandria database.

Geometry as CIF:
```
data_Be2AsIr
_cell_length_a 5.838
_cell_length_b 5.838
_cell_length_c 5.838
_cell_angle_alpha 90.00
_cell_angle_beta 90.00
_cell_angle_gamma 90.00
_space_group_name_H-M_alt 'F -4 3 m'
_space_group_IT_number 216
_space_group_name_Hall 'F -4 2 3'
loop_
_atom_site_label
_atom_site_type_symbol
_atom_site_fract_x
_atom_site_fract_y
_atom_site_fract_z
_atom_site_occupancy
Be1 Be 0.000 0.000 0.000 1
Be2 Be 0.250 0.250 0.250 1
As1 As 0.000 0.000 0.500 1
Ir1 Ir 0.250 0.250 0.750 1
```

Properties
electronic total energy	-5.0687	eV/atom
mass density	9.52	Mg/m³
formation enthalpy at 0 K	0.7	eV per formula unit



First-principles (PBE) data for crystalline BeAsIr at its relaxed geometry, as listed in the Alexandria database.

Geometry as CIF:
```
data_BeAsIr
_cell_length_a 2.889
_cell_length_b 4.818
_cell_length_c 12.249
_cell_angle_alpha 90.00
_cell_angle_beta 90.00
_cell_angle_gamma 90.00
_space_group_name_H-M_alt 'F m m 2'
_space_group_IT_number 42
_space_group_name_Hall 'F 2 -2'
loop_
_atom_site_label
_atom_site_type_symbol
_atom_site_fract_x
_atom_site_fract_y
_atom_site_fract_z
_atom_site_occupancy
Be1 Be 0.000 0.000 0.000 1
As1 As 0.000 0.000 0.672 1
Ir1 Ir 0.000 0.000 0.362 1
```

Properties
electronic total energy	-5.5139	eV/atom
mass density	10.76	Mg/m³
ΔE to the lowest computed polymorph	0.336	eV/atom
formation enthalpy at 0 K	0.7	eV per formula unit



- Which formula does entry 2 have?
  BeAsIr